# Pr2ScNO2

An optimized crystal structure of Pr2ScNO2 (GGA-PBE, the Open Quantum Materials Database).

Values from the calculation:
Its total DFT energy (no corrections) is -8.015 eV per atom.

a b c (Å): 3.4475 3.4475 8.6087
angles (deg): 90.00 90.00 120.00
Closest atoms and distances in Å follow each position.
Space group P-3m1 (No. 164)
Inequivalent atoms, fractional coordinates:
1 Pr 0.3333 0.6667 0.1699 (multiplicity 2)  3 N 2.47, 3 O 2.67
2 Sc 0.0000 0.0000 0.5000 (multiplicity 1)  6 O 2.26
3 N 0.0000 0.0000 0.0000 (multiplicity 1)  6 Pr 2.47
4 O 0.3333 0.6667 0.6235 (multiplicity 2)  3 Sc 2.26